(1)
# meta-GGA SCAN AsSe2Cl, PBEsol geometry
data_AsSe2Cl
_chemical_formula_sum 'As1 Se2 Cl1'
_space_group_name_H-M_alt 'P 1'
_space_group_IT_number 1
_cell_length_a 3.633
_cell_length_b 3.633
_cell_length_c 7.675
_cell_angle_alpha 76.31
_cell_angle_beta 76.31
_cell_angle_gamma 60.00
loop_
_space_group_symop_operation_xyz
'x,y,z'
loop_
_atom_site_label
_atom_site_type_symbol
_atom_site_fract_x
_atom_site_fract_y
_atom_site_fract_z
As1 As 0.500 0.500 0.500
Se1 Se 0.238 0.238 0.287
Se2 Se 0.762 0.762 0.713
Cl1 Cl 0.000 0.000 0.000
# - energy relative to the lowest polymorph listed for this composition (meV/atom) = 0
# - formation energy from raw total energies (meV/atom) = 72
# - space group = R-3m, No. 166
# - DFT total energy (eV/atom) = -17.009



(2)
# meta-GGA SCAN Sr2Li2Ca, PBEsol geometry
data_Sr2Li2Ca
_chemical_formula_sum 'Sr4 Li4 Ca2'
_space_group_name_H-M_alt 'P 1'
_space_group_IT_number 1
_cell_length_a 4.481
_cell_length_b 9.183
_cell_length_c 9.183
_cell_angle_alpha 90.00
_cell_angle_beta 90.00
_cell_angle_gamma 90.00
loop_
_space_group_symop_operation_xyz
'x,y,z'
loop_
_atom_site_label
_atom_site_type_symbol
_atom_site_fract_x
_atom_site_fract_y
_atom_site_fract_z
Sr1 Sr 0.500 0.174 0.674
Sr2 Sr 0.500 0.674 0.826
Sr3 Sr 0.500 0.826 0.326
Sr4 Sr 0.500 0.326 0.174
Ca1 Ca 0.000 0.000 0.000
Ca2 Ca 0.000 0.500 0.500
Li1 Li 0.000 0.380 0.880
Li2 Li 0.000 0.880 0.620
Li3 Li 0.000 0.620 0.120
Li4 Li 0.000 0.120 0.380
# - energy relative to the lowest polymorph listed for this composition (meV/atom) = 0
# - space group = P4/mbm, No. 127
# - formation energy from the elements (eV/atom) = 0.012
# - DFT total energy (eV/atom) = -11.787



(3)
# meta-GGA SCAN Ba3CrSn, PBEsol geometry
data_Ba3CrSn
_chemical_formula_sum 'Ba3 Cr1 Sn1'
_space_group_name_H-M_alt 'P 1'
_space_group_IT_number 1
_cell_length_a 6.585
_cell_length_b 6.585
_cell_length_c 6.585
_cell_angle_alpha 90.00
_cell_angle_beta 90.00
_cell_angle_gamma 90.00
loop_
_space_group_symop_operation_xyz
'x,y,z'
loop_
_atom_site_label
_atom_site_type_symbol
_atom_site_fract_x
_atom_site_fract_y
_atom_site_fract_z
Cr1 Cr 0.500 0.500 0.500
Ba1 Ba 0.000 0.500 0.000
Ba2 Ba 0.000 0.000 0.500
Ba3 Ba 0.500 0.000 0.000
Sn1 Sn 0.000 0.000 0.000
# - space group = Pm-3m, No. 221
# - formation energy from the elements (eV/atom) = 0.197
# - DFT total energy (eV/atom) = -34.394



(4)
# meta-GGA SCAN Li2CaHg, PBEsol geometry
data_Li2CaHg
_chemical_formula_sum 'Li2 Ca1 Hg1'
_space_group_name_H-M_alt 'P 1'
_space_group_IT_number 1
_cell_length_a 4.530
_cell_length_b 4.530
_cell_length_c 5.384
_cell_angle_alpha 114.88
_cell_angle_beta 114.88
_cell_angle_gamma 90.00
loop_
_space_group_symop_operation_xyz
'x,y,z'
loop_
_atom_site_label
_atom_site_type_symbol
_atom_site_fract_x
_atom_site_fract_y
_atom_site_fract_z
Ca1 Ca 0.500 0.500 0.000
Hg1 Hg 0.250 0.750 0.500
Li1 Li 0.000 0.000 0.000
Li2 Li 0.750 0.250 0.500
# - space group = I-4m2, No. 119
# - formation energy from the elements (eV/atom) = -0.346
# - DFT total energy (eV/atom) = -20.998



(5)
# meta-GGA SCAN GaCuB3, PBEsol geometry
data_GaCuB3
_chemical_formula_sum 'Ga1 Cu1 B3'
_space_group_name_H-M_alt 'P 1'
_space_group_IT_number 1
_cell_length_a 4.045
_cell_length_b 4.045
_cell_length_c 4.045
_cell_angle_alpha 90.00
_cell_angle_beta 90.00
_cell_angle_gamma 90.00
loop_
_space_group_symop_operation_xyz
'x,y,z'
loop_
_atom_site_label
_atom_site_type_symbol
_atom_site_fract_x
_atom_site_fract_y
_atom_site_fract_z
B1 B 0.000 0.500 0.000
B2 B 0.000 0.000 0.500
B3 B 0.500 0.000 0.000
Cu1 Cu 0.500 0.500 0.500
Ga1 Ga 0.000 0.000 0.000
# - space group = Pm-3m, No. 221
# - formation energy from the elements (eV/atom) = 2.116
# - DFT total energy (eV/atom) = -8.651



(6)
# meta-GGA SCAN MnCdTe2, PBEsol geometry
data_MnCdTe2
_chemical_formula_sum 'Mn1 Cd1 Te2'
_space_group_name_H-M_alt 'P 1'
_space_group_IT_number 1
_cell_length_a 3.891
_cell_length_b 4.130
_cell_length_c 6.538
_cell_angle_alpha 90.00
_cell_angle_beta 90.00
_cell_angle_gamma 90.00
loop_
_space_group_symop_operation_xyz
'x,y,z'
loop_
_atom_site_label
_atom_site_type_symbol
_atom_site_fract_x
_atom_site_fract_y
_atom_site_fract_z
Cd1 Cd 0.500 0.500 0.000
Mn1 Mn 0.500 0.000 0.500
Te1 Te 0.000 0.000 0.000
Te2 Te 0.000 0.500 0.500
# - formation energy from raw total energies (meV/atom) = -83
# - space group = Pmmm, No. 47
# - DFT total energy (eV/atom) = -30.876



(7)
# meta-GGA SCAN C3S4, PBEsol geometry
data_C3S4
_chemical_formula_sum 'C24 S32'
_space_group_name_H-M_alt 'P 1'
_space_group_IT_number 1
_cell_length_a 8.133
_cell_length_b 9.661
_cell_length_c 13.641
_cell_angle_alpha 90.00
_cell_angle_beta 107.07
_cell_angle_gamma 90.00
loop_
_space_group_symop_operation_xyz
'x,y,z'
loop_
_atom_site_label
_atom_site_type_symbol
_atom_site_fract_x
_atom_site_fract_y
_atom_site_fract_z
C1 C 0.010 0.568 0.101
C2 C 0.990 0.068 0.399
C3 C 0.990 0.432 0.899
C4 C 0.010 0.932 0.601
C5 C 0.069 0.644 0.033
C6 C 0.931 0.144 0.467
C7 C 0.931 0.356 0.967
C8 C 0.069 0.856 0.533
C9 C 0.134 0.779 0.061
C10 C 0.866 0.279 0.439
C11 C 0.866 0.221 0.939
C12 C 0.134 0.721 0.561
C13 C 0.425 0.354 0.986
C14 C 0.575 0.854 0.514
C15 C 0.575 0.646 0.014
C16 C 0.425 0.146 0.486
C17 C 0.445 0.417 0.079
C18 C 0.555 0.917 0.421
C19 C 0.555 0.583 0.921
C20 C 0.445 0.083 0.579
C21 C 0.393 0.343 0.155
C22 C 0.607 0.843 0.345
C23 C 0.607 0.657 0.845
C24 C 0.393 0.157 0.655
S1 S 0.921 0.404 0.089
S2 S 0.079 0.904 0.411
S3 S 0.079 0.596 0.911
S4 S 0.921 0.096 0.589
S5 S 0.025 0.646 0.217
S6 S 0.975 0.146 0.283
S7 S 0.975 0.354 0.783
S8 S 0.025 0.854 0.717
S9 S 0.136 0.825 0.184
S10 S 0.864 0.325 0.316
S11 S 0.864 0.175 0.816
S12 S 0.136 0.675 0.684
S13 S 0.205 0.884 0.986
S14 S 0.795 0.384 0.514
S15 S 0.795 0.116 0.014
S16 S 0.205 0.616 0.486
S17 S 0.475 0.417 0.878
S18 S 0.525 0.917 0.622
S19 S 0.525 0.583 0.122
S20 S 0.475 0.083 0.378
S21 S 0.339 0.189 0.971
S22 S 0.661 0.689 0.529
S23 S 0.661 0.811 0.029
S24 S 0.339 0.311 0.471
S25 S 0.311 0.181 0.117
S26 S 0.689 0.681 0.383
S27 S 0.689 0.819 0.883
S28 S 0.311 0.319 0.617
S29 S 0.411 0.402 0.273
S30 S 0.589 0.902 0.227
S31 S 0.589 0.598 0.727
S32 S 0.411 0.098 0.773
# - formation energy from raw total energies (meV/atom) = 289
# - space group = P2_1/c, No. 14
# - DFT total energy (eV/atom) = -9.541



(8)
# meta-GGA SCAN BeCu2Au, PBEsol geometry
data_BeCu2Au
_chemical_formula_sum 'Be1 Cu2 Au1'
_space_group_name_H-M_alt 'P 1'
_space_group_IT_number 1
_cell_length_a 3.518
_cell_length_b 3.518
_cell_length_c 4.630
_cell_angle_alpha 112.33
_cell_angle_beta 112.33
_cell_angle_gamma 90.00
loop_
_space_group_symop_operation_xyz
'x,y,z'
loop_
_atom_site_label
_atom_site_type_symbol
_atom_site_fract_x
_atom_site_fract_y
_atom_site_fract_z
Be1 Be 0.000 0.000 0.000
Au1 Au 0.500 0.500 0.000
Cu1 Cu 0.750 0.250 0.500
Cu2 Cu 0.250 0.750 0.500
# - space group = I4/mmm, No. 139
# - formation energy from the elements (eV/atom) = -0.127
# - DFT total energy (eV/atom) = -26.104



(9)
# meta-GGA SCAN ZrTlN2, PBEsol geometry
data_ZrTlN2
_chemical_formula_sum 'Zr2 Tl2 N4'
_space_group_name_H-M_alt 'P 1'
_space_group_IT_number 1
_cell_length_a 5.342
_cell_length_b 6.179
_cell_length_c 5.342
_cell_angle_alpha 64.38
_cell_angle_beta 90.00
_cell_angle_gamma 115.62
loop_
_space_group_symop_operation_xyz
'x,y,z'
loop_
_atom_site_label
_atom_site_type_symbol
_atom_site_fract_x
_atom_site_fract_y
_atom_site_fract_z
Tl1 Tl 0.750 0.500 0.750
Tl2 Tl 0.000 0.000 0.000
Zr1 Zr 0.250 0.500 0.250
Zr2 Zr 0.500 0.000 0.500
N1 N 0.563 0.750 0.375
N2 N 0.187 0.750 0.875
N3 N 0.875 0.250 0.563
N4 N 0.375 0.250 0.187
# - formation energy from raw total energies (meV/atom) = -505
# - space group = I-42d, No. 122
# - DFT total energy (eV/atom) = -30.915



(10)
# meta-GGA SCAN CaCuPb2, PBEsol geometry
data_CaCuPb2
_chemical_formula_sum 'Ca1 Cu1 Pb2'
_space_group_name_H-M_alt 'P 1'
_space_group_IT_number 1
_cell_length_a 3.479
_cell_length_b 6.056
_cell_length_c 6.056
_cell_angle_alpha 115.93
_cell_angle_beta 104.22
_cell_angle_gamma 104.22
loop_
_space_group_symop_operation_xyz
'x,y,z'
loop_
_atom_site_label
_atom_site_type_symbol
_atom_site_fract_x
_atom_site_fract_y
_atom_site_fract_z
Ca1 Ca 0.500 0.000 0.000
Cu1 Cu 0.500 0.500 0.500
Pb1 Pb 0.000 0.500 0.000
Pb2 Pb 0.000 0.000 0.500
# - space group = C2/m, No. 12
# - formation energy from the elements (eV/atom) = 0.026
# - DFT total energy (eV/atom) = -44.080



(11)
# meta-GGA SCAN Ni2SbBr, PBEsol geometry
data_Ni2SbBr
_chemical_formula_sum 'Ni2 Sb1 Br1'
_space_group_name_H-M_alt 'P 1'
_space_group_IT_number 1
_cell_length_a 3.245
_cell_length_b 3.245
_cell_length_c 6.844
_cell_angle_alpha 90.00
_cell_angle_beta 90.00
_cell_angle_gamma 90.00
loop_
_space_group_symop_operation_xyz
'x,y,z'
loop_
_atom_site_label
_atom_site_type_symbol
_atom_site_fract_x
_atom_site_fract_y
_atom_site_fract_z
Br1 Br 0.500 0.500 0.860
Ni1 Ni 0.000 0.000 0.031
Ni2 Ni 0.500 0.500 0.206
Sb1 Sb 0.000 0.000 0.402
# - energy relative to the lowest polymorph listed for this composition (meV/atom) = 0
# - formation energy from raw total energies (meV/atom) = 50
# - space group = P4mm, No. 99
# - DFT total energy (eV/atom) = -22.216



(12)
# meta-GGA SCAN Tc2Ir, PBEsol geometry
data_Tc2Ir
_chemical_formula_sum 'Tc4 Ir2'
_space_group_name_H-M_alt 'P 1'
_space_group_IT_number 1
_cell_length_a 3.822
_cell_length_b 3.836
_cell_length_c 6.027
_cell_angle_alpha 71.44
_cell_angle_beta 90.00
_cell_angle_gamma 90.00
loop_
_space_group_symop_operation_xyz
'x,y,z'
loop_
_atom_site_label
_atom_site_type_symbol
_atom_site_fract_x
_atom_site_fract_y
_atom_site_fract_z
Ir1 Ir 0.750 0.917 0.167
Ir2 Ir 0.250 0.083 0.833
Tc1 Tc 0.750 0.585 0.830
Tc2 Tc 0.250 0.415 0.170
Tc3 Tc 0.750 0.251 0.499
Tc4 Tc 0.250 0.749 0.501
# - energy relative to the lowest polymorph listed for this composition (meV/atom) = 110
# - space group = Cmcm, No. 63
# - formation energy from the elements (eV/atom) = -0.174
# - DFT total energy (eV/atom) = -47.247



(13)
# meta-GGA SCAN CoIrRh, PBEsol geometry
data_CoIrRh
_chemical_formula_sum 'Co1 Ir1 Rh1'
_space_group_name_H-M_alt 'P 1'
_space_group_IT_number 1
_cell_length_a 2.650
_cell_length_b 2.650
_cell_length_c 5.722
_cell_angle_alpha 103.39
_cell_angle_beta 103.39
_cell_angle_gamma 90.00
loop_
_space_group_symop_operation_xyz
'x,y,z'
loop_
_atom_site_label
_atom_site_type_symbol
_atom_site_fract_x
_atom_site_fract_y
_atom_site_fract_z
Rh1 Rh 0.338 0.338 0.676
Ir1 Ir 0.660 0.660 0.321
Co1 Co 0.001 0.001 0.003
# - energy relative to the lowest polymorph listed for this composition (meV/atom) = 18
# - space group = I4mm, No. 107
# - formation energy from the elements (eV/atom) = 0.060
# - DFT total energy (eV/atom) = -40.665